No. 1
VASP calculation (PBE-GGA) on a relaxed PbNF crystal.

Cell lengths 9.432, 3.709, 7.399 Å; angles 90.00, 97.83, 90.00 degrees
Element x y z (fractional)
Pb (0.191, 0.245, 0.306)
Pb (0.191, 0.255, 0.806)
Pb (0.809, 0.745, 0.194)
Pb (0.809, 0.755, 0.694)
N (0.430, 0.250, 0.362)
N (0.430, 0.250, 0.862)
N (0.570, 0.750, 0.138)
N (0.570, 0.750, 0.638)
F (0.183, 0.749, 0.542)
F (0.183, 0.751, 0.042)
F (0.817, 0.249, 0.958)
F (0.817, 0.251, 0.458)

Space group: P2_1/c
Formation energy from raw total energies in eV/atom: 0.401
Volume in Å³/atom: 21.4


No. 2
VASP calculation (PBE-GGA) on a relaxed PbN2F2 crystal.

Cell lengths 3.999, 4.003, 7.934 Å; angles 95.51, 91.31, 119.96 degrees
Element x y z (fractional)
Pb (0.000, 0.000, 0.000)
N (0.029, 0.043, 0.435)
N (0.971, 0.957, 0.565)
F (0.310, 0.631, 0.874)
F (0.690, 0.369, 0.126)

Space group: P-1
Formation energy from raw total energies in eV/atom: -1.365
Distance to the lowest polymorph of the same formula in eV per atom: 0.0000
Volume in Å³/atom: 21.8


No. 3
VASP calculation (PBE-GGA) on a relaxed PbN2F2 crystal.

Cell lengths 4.600, 4.600, 4.738 Å; angles 90.00, 90.00, 90.00 degrees
Element x y z (fractional)
Pb (0.000, 0.000, 0.000)
N (0.000, 0.000, 0.500)
N (0.500, 0.500, 0.500)
F (0.000, 0.500, 0.000)
F (0.500, 0.000, 0.000)

Space group: P4/mmm
Formation energy from raw total energies in eV/atom: 0.696
Distance to the lowest polymorph of the same formula in eV per atom: 2.0605
Volume in Å³/atom: 20.1


No. 4
VASP calculation (PBE-GGA) on a relaxed PbNF3 crystal.

Cell lengths 4.510, 4.510, 4.510 Å; angles 90.00, 90.00, 90.00 degrees
Element x y z (fractional)
Pb (0.000, 0.000, 0.000)
N (0.500, 0.500, 0.500)
F (0.000, 0.000, 0.500)
F (0.000, 0.500, 0.000)
F (0.500, 0.000, 0.000)

Space group: Pm-3m
Formation energy from raw total energies in eV/atom: -0.623
Distance to the lowest polymorph of the same formula in eV per atom: 0.0000
Volume in Å³/atom: 18.3


No. 5
VASP calculation (PBE-GGA) on a relaxed PbNF2 crystal.

Cell lengths 6.183, 3.978, 6.519 Å; angles 90.00, 103.28, 90.00 degrees
Element x y z (fractional)
Pb (0.113, 0.250, 0.284)
Pb (0.887, 0.750, 0.716)
N (0.479, 0.750, 0.223)
N (0.521, 0.250, 0.777)
F (0.074, 0.250, 0.882)
F (0.180, 0.750, 0.551)
F (0.820, 0.250, 0.449)
F (0.926, 0.750, 0.118)

Space group: P2_1/m
Formation energy from raw total energies in eV/atom: -0.439
Distance to the lowest polymorph of the same formula in eV per atom: 0.0000
Volume in Å³/atom: 19.5


No. 6
VASP calculation (PBE-GGA) on a relaxed PbNF3 crystal.

Cell lengths 4.401, 6.528, 7.570 Å; angles 88.78, 89.97, 89.71 degrees
Element x y z (fractional)
Pb (0.000, 0.000, 0.000)
Pb (0.000, 0.001, 0.500)
N (0.492, 0.395, 0.994)
N (0.500, 0.505, 0.496)
F (0.001, 0.795, 0.293)
F (0.002, 0.795, 0.714)
F (0.500, 0.003, 0.500)
F (0.501, 0.889, 0.001)
F (0.998, 0.211, 0.703)
F (0.998, 0.212, 0.289)

Space group: P1
Formation energy from raw total energies in eV/atom: -0.604
Distance to the lowest polymorph of the same formula in eV per atom: 0.0187
Volume in Å³/atom: 21.7


No. 7
VASP calculation (PBE-GGA) on a relaxed PdPbN2F crystal.

Cell lengths 4.253, 4.253, 4.200 Å; angles 90.00, 90.00, 90.00 degrees
Element x y z (fractional)
Pd (0.000, 0.000, 0.000)
Pb (0.500, 0.500, 0.500)
N (0.000, 0.500, 0.500)
N (0.500, 0.000, 0.500)
F (0.500, 0.500, 0.000)

Space group: P4/mmm
Formation energy from raw total energies in eV/atom: 1.250
Distance to the lowest polymorph of the same formula in eV per atom: 0.6389
Volume in Å³/atom: 15.2


No. 8
VASP calculation (PBE-GGA) on a relaxed PdPbN2F crystal.

Cell lengths 3.961, 3.961, 5.826 Å; angles 90.00, 90.00, 90.00 degrees
Element x y z (fractional)
Pd (0.000, 0.000, 0.000)
Pb (0.500, 0.500, 0.500)
N (0.000, 0.500, 0.000)
N (0.500, 0.000, 0.000)
F (0.000, 0.000, 0.500)

Space group: P4/mmm
Formation energy from raw total energies in eV/atom: 0.611
Distance to the lowest polymorph of the same formula in eV per atom: 0.0000
Volume in Å³/atom: 18.3